## CrTe3 (PBE-GGA)

Data for a relaxed structure of CrTe3.

Geometry as extended XYZ:
```
4
Lattice="-1.943 2.459 6.200 1.943 -2.459 6.200 1.943 2.459 -6.200" Properties=species:S:1:pos:R:3 pbc="T T T"
Cr 0.000 0.000 0.000
Te 1.943 0.000 1.951
Te 0.000 0.000 6.200
Te 0.000 2.459 4.249
```

uncorrected formation energy	0.29	eV/f.u.
uncorrected energy	-18.8	eV for the cell shown